No. 1
First-principles (PBE) data for a relaxed structure of Ba6Te3AsI2, as listed in the Alexandria database.

- formation energy (no corrections) (eV per formula unit) = -19.35
- DOS at the Fermi energy (states/eV per cell) = 3.73
- volume (Å³ per cell) = 521.9

The structure in extended XYZ format:
```
12
Lattice="4.3379 -7.4844 0.0000 4.3379 7.4844 0.0000 -2.8757 0.0000 8.0374" Properties=species:S:1:pos:R:3 pbc="T T T"
Ba -0.1014 2.3007 6.0389
Ba 1.2057 0.0000 1.9793
Ba -0.1014 -2.3007 6.0389
Ba 5.9015 2.3007 1.9984
Ba 4.5944 0.0000 6.0581
Ba 5.9015 -2.3007 1.9984
Te 4.3379 4.8712 0.0000
Te 4.3379 0.0000 0.0000
Te 4.3379 -4.8712 0.0000
As -1.4378 0.0000 4.0187
I 2.9000 2.4736 4.0187
I 2.9000 -2.4736 4.0187
```

=====

No. 2
First-principles (PBE) data for a relaxed structure of Cu7Tc, as listed in the Alexandria database.

- ΔH_f (0 K) (eV/atom) = 0.221
- DOS at the Fermi energy (states/eV per cell) = 6.38
- volume (Å³ per cell) = 99.4

The structure in extended XYZ format:
```
8
Lattice="0.0000 3.6771 3.6771 3.6771 0.0000 3.6771 3.6771 3.6771 0.0000" Properties=species:S:1:pos:R:3 pbc="T T T"
Cu 0.0000 0.0000 0.0000
Cu 1.8385 1.8385 0.0000
Cu 1.8385 0.0000 1.8385
Cu 3.6771 1.8385 1.8385
Cu 0.0000 1.8385 1.8385
Cu 1.8385 3.6771 1.8385
Cu 1.8385 1.8385 3.6771
Tc 3.6771 3.6771 3.6771
```

=====

No. 3
First-principles (PBE) data for a relaxed structure of Mg2Tc3, as listed in the Alexandria database.

- ΔH_f (0 K) (eV/atom) = 0.138
- DOS at the Fermi energy (states/eV per cell) = 3.55
- volume (Å³ per cell) = 76.9

The structure in extended XYZ format:
```
5
Lattice="2.2330 1.2893 4.4526 -2.2330 1.2893 4.4526 0.0000 -2.5785 4.4526" Properties=species:S:1:pos:R:3 pbc="T T T"
Mg 0.0000 0.0000 2.6968
Mg 0.0000 0.0000 10.6611
Tc 0.0000 0.0000 0.0000
Tc 0.0000 0.0000 5.4402
Tc 0.0000 0.0000 7.9178
```

=====

No. 4
First-principles (PBE) data for a relaxed structure of Sc2IrOs2, as listed in the Alexandria database.

- ΔH_f (0 K) (eV/atom) = -0.282
- DOS at the Fermi energy (states/eV per cell) = 11.01
- volume (Å³ per cell) = 180.6

The structure in extended XYZ format:
```
10
Lattice="6.5804 0.0000 0.0000 0.0000 6.5804 0.0000 0.0000 0.0000 4.1696" Properties=species:S:1:pos:R:3 pbc="T T T"
Sc 1.1850 2.1052 0.0000
Sc 2.1052 5.3954 0.0000
Sc 4.4752 1.1850 0.0000
Sc 5.3954 4.4752 0.0000
Ir 0.0000 0.0000 2.0848
Ir 3.2902 3.2902 2.0848
Os 0.8402 4.1304 2.0848
Os 2.4500 0.8402 2.0848
Os 4.1304 5.7402 2.0848
Os 5.7402 2.4500 2.0848
```

=====

No. 5
First-principles (PBE) data for a relaxed structure of InCuSeN2, as listed in the Alexandria database.

- formation energy (no corrections) (eV per formula unit) = 6.40
- DOS at the Fermi energy (states/eV per cell) = 1.96
- volume (Å³ per cell) = 75.2

The structure in extended XYZ format:
```
5
Lattice="3.8712 0.0000 0.0000 0.0000 3.8712 0.0000 0.0000 0.0000 5.0154" Properties=species:S:1:pos:R:3 pbc="T T T"
In 0.0000 0.0000 0.0000
Cu 1.9356 1.9356 2.5077
Se 1.9356 1.9356 0.0000
N 0.0000 1.9356 2.5077
N 1.9356 0.0000 2.5077
```

=====

No. 6
First-principles (PBE) data for a relaxed structure of BaNaICl2, as listed in the Alexandria database.

- formation energy (no corrections) (eV per formula unit) = -9.86
- DOS at the Fermi energy (states/eV per cell) = 0.00
- volume (Å³ per cell) = 192.7

The structure in extended XYZ format:
```
5
Lattice="5.0989 0.0000 0.0000 0.0000 5.0989 0.0000 0.0000 0.0000 7.4118" Properties=species:S:1:pos:R:3 pbc="T T T"
Ba 0.0000 0.0000 0.0000
Na 2.5494 2.5494 2.7148
I 2.5494 2.5494 5.8678
Cl 0.0000 2.5494 1.7267
Cl 2.5494 0.0000 1.7267
```

=====

No. 7
First-principles (PBE) data for a relaxed structure of Ho4Tm3Co4, as listed in the Alexandria database.

- ΔH_f (0 K) (eV/atom) = -0.120
- DOS at the Fermi energy (states/eV per cell) = 8.45
- volume (Å³ per cell) = 238.8

The structure in extended XYZ format:
```
11
Lattice="-1.7724 4.3643 7.7168 1.7724 -4.3643 7.7168 1.7724 4.3643 -7.7168" Properties=species:S:1:pos:R:3 pbc="T T T"
Ho 1.7724 -2.7451 5.1694
Ho 0.0000 1.6192 2.5475
Ho 1.7724 2.7451 5.1694
Ho 0.0000 7.1094 2.5475
Tm 1.7724 0.0000 0.0000
Tm 0.0000 0.0000 6.1231
Tm 0.0000 0.0000 9.3106
Co 1.7724 0.0000 3.9025
Co 0.0000 2.5055 0.0000
Co 0.0000 6.2231 0.0000
Co 0.0000 4.3643 3.8143
```

=====

No. 8
First-principles (PBE) data for a relaxed structure of BaScTa2, as listed in the Alexandria database.

- ΔH_f (0 K) (eV/atom) = 0.575
- DOS at the Fermi energy (states/eV per cell) = 6.34
- volume (Å³ per cell) = 100.1

The structure in extended XYZ format:
```
4
Lattice="1.8459 -2.5367 0.0000 1.8459 2.5367 0.0000 0.0000 0.0000 10.6862" Properties=species:S:1:pos:R:3 pbc="T T T"
Ba 0.0000 0.0000 0.0000
Sc 1.8459 0.0000 3.4291
Ta 0.0000 0.0000 5.6799
Ta 1.8459 0.0000 7.6664
```

=====

No. 9
First-principles (PBE) data for a relaxed structure of Mg2Tl2Ni, as listed in the Alexandria database.

- ΔH_f (0 K) (eV/atom) = 0.201
- DOS at the Fermi energy (states/eV per cell) = 5.26
- volume (Å³ per cell) = 226.7

The structure in extended XYZ format:
```
10
Lattice="6.8840 0.0000 0.0000 0.0000 6.8840 0.0000 0.0000 0.0000 4.7832" Properties=species:S:1:pos:R:3 pbc="T T T"
Mg 1.0918 2.3501 0.0000
Mg 2.3501 5.7921 0.0000
Mg 4.5338 1.0918 0.0000
Mg 5.7921 4.5338 0.0000
Tl 1.1579 4.5999 2.3916
Tl 2.2840 1.1579 2.3916
Tl 4.5999 5.7260 2.3916
Tl 5.7260 2.2840 2.3916
Ni 0.0000 0.0000 0.0000
Ni 3.4420 3.4420 0.0000
```

=====

No. 10
First-principles (PBE) data for a relaxed structure of LaEr2Pa, as listed in the Alexandria database.

- ΔH_f (0 K) (eV/atom) = 0.126
- DOS at the Fermi energy (states/eV per cell) = 7.05
- volume (Å³ per cell) = 120.9

The structure in extended XYZ format:
```
4
Lattice="3.4299 0.0000 0.0000 0.0000 3.4299 0.0000 0.0000 0.0000 10.2745" Properties=species:S:1:pos:R:3 pbc="T T T"
La 0.0000 0.0000 0.0000
Er 1.7150 1.7150 2.8228
Er 1.7150 1.7150 7.4517
Pa 0.0000 0.0000 5.1373
```

=====

No. 11
First-principles (PBE) data for a relaxed structure of Er3Cd2Pd, as listed in the Alexandria database.

- ΔH_f (0 K) (eV/atom) = -0.518
- DOS at the Fermi energy (states/eV per cell) = 4.27
- volume (Å³ per cell) = 143.7

The structure in extended XYZ format:
```
6
Lattice="3.6094 0.0000 0.0000 0.0000 3.6094 0.0000 0.0000 0.0000 11.0288" Properties=species:S:1:pos:R:3 pbc="T T T"
Er 0.0000 0.0000 0.0000
Er 0.0000 0.0000 3.8673
Er 0.0000 0.0000 7.1615
Cd 1.8047 1.8047 1.8894
Cd 1.8047 1.8047 9.1395
Pd 1.8047 1.8047 5.5144
```

=====

No. 12
First-principles (PBE) data for a relaxed structure of CePm3Ir, as listed in the Alexandria database.

- ΔH_f (0 K) (eV/atom) = -0.096
- DOS at the Fermi energy (states/eV per cell) = 12.22
- volume (Å³ per cell) = 175.2

The structure in extended XYZ format:
```
5
Lattice="5.5955 0.0000 0.0000 0.0000 5.5955 0.0000 0.0000 0.0000 5.5955" Properties=species:S:1:pos:R:3 pbc="T T T"
Ce 0.0000 0.0000 0.0000
Pm 0.0000 2.7977 2.7977
Pm 2.7977 0.0000 2.7977
Pm 2.7977 2.7977 0.0000
Ir 2.7977 2.7977 2.7977
```